VASP calculation (GGA-PBE) on crystalline UFeOs at its relaxed geometry.

```
UFeOs
1.0
0.000 2.957 2.957
2.957 0.000 2.957
2.957 2.957 0.000
U Fe Os
1 1 1
Direct
0.000 0.000 0.000
0.250 0.250 0.250
0.500 0.500 0.500
```

Summary:
energy relative to the elements: 0.27 eV/atom
crystal system: cubic
SG: F-43m, No. 216
volume: 52 Å³ per cell
total magnetic moment: 0.08 μB per cell



VASP calculation (GGA-PBE) on crystalline KNaZrSe3 at its relaxed geometry.

```
KNaZrSe3
1.0
7.873 0.000 0.000
0.000 3.997 0.000
-0.799 0.000 10.148
K Na Zr Se
2 2 2 6
Direct
0.083 0.250 0.157
0.917 0.750 0.843
0.245 0.750 0.491
0.755 0.250 0.509
0.401 0.250 0.814
0.599 0.750 0.186
0.121 0.250 0.671
0.308 0.750 0.985
0.446 0.250 0.315
0.554 0.750 0.685
0.692 0.250 0.015
0.879 0.750 0.329
```

Summary:
crystal system: monoclinic
relative energy among the computed polymorphs: 0 meV/atom
SG: P2_1/m, No. 11
volume: 319 Å³ per cell
total magnetic moment: 0.00 μB per cell



VASP calculation (GGA-PBE) on crystalline NiAgWAu at its relaxed geometry.

```
NiAgWAu
1.0
0.000 3.146 3.146
3.146 0.000 3.146
3.146 3.146 0.000
Ni Ag W Au
1 1 1 1
Direct
0.000 0.000 0.000
0.750 0.750 0.750
0.250 0.250 0.250
0.500 0.500 0.500
```

Summary:
energy relative to the elements: 0.50 eV/atom
crystal system: cubic
relative energy among the computed polymorphs: 0 meV/atom
SG: F-43m, No. 216
volume: 62 Å³ per cell
total magnetic moment: 0.01 μB per cell



VASP calculation (GGA-PBE) on crystalline TlNi3Te5 at its relaxed geometry.

```
TlNi3Te5
1.0
5.732 0.000 0.000
-2.866 4.964 0.000
0.000 0.000 7.599
Tl Ni Te
1 3 5
Direct
0.000 0.000 0.000
0.000 0.500 0.500
0.500 0.000 0.500
0.500 0.500 0.500
0.000 0.000 0.500
0.333 0.667 0.240
0.333 0.667 0.760
0.667 0.333 0.240
0.667 0.333 0.760
```

Summary:
crystal system: hexagonal
SG: P6/mmm, No. 191
volume: 216 Å³ per cell
total magnetic moment: 0.01 μB per cell
raw total energy: -35.700 eV/cell